# La4MnSe6O

A relaxed La4MnSe6O crystal (PBE with a Hubbard U, Alexandria via LeMat-Bulk).

The space group is P6_3mc (No. 186) and the conventional cell measures 9.7601, 9.7601 and 7.0686 Å, with angles of 90.00, 90.00 and 120.00 degrees. The inequivalent atoms are La at (0.1984, 0.3969, 0.0000), La at (0.3333, 0.6667, 0.5490), Mn at (0.0000, 0.0000, 0.3540), Se at (0.0581, 0.5290, 0.2885), Se at (0.1152, 0.2305, 0.6097) and O at (0.3333, 0.6667, 0.8820).

For the total energy, the calculation gives -6.18 eV/atom. The density of states at the Fermi level comes out at 0.159 states/eV per atom.